(1)
{
  "formula": "Al3PbW",
  "functional": "PBE-GGA",
  "state": "optimized geometry",
  "lattice_angstrom": [[4.940, 0.000, 0.000], [0.000, 4.940, 0.000], [0.000, 0.000, 4.940]],
  "species": ["Al", "Al", "Al", "Pb", "W"],
  "frac_coords": [[0.000, 0.000, 0.500], [0.000, 0.500, 0.000], [0.500, 0.000, 0.000], [0.500, 0.500, 0.500], [0.000, 0.000, 0.000]],
  "dft_energy_ev_per_atom": -5.03,
  "delta_e_f_ev_per_fu": 2.755,
  "total_magnetization_mub_per_atom": 0.0000,
  "sg": "Pm-3m (221)"
}

=====

(2)
{
  "formula": "AlPb2W",
  "functional": "PBE-GGA",
  "state": "optimized geometry",
  "lattice_angstrom": [[3.134, 0.000, 0.000], [0.000, 5.116, 0.000], [-0.808, 0.000, 5.676]],
  "species": ["Al", "Pb", "Pb", "W"],
  "frac_coords": [[0.000, 0.000, 0.000], [0.294, 0.500, 0.745], [0.706, 0.500, 0.255], [0.000, 0.000, 0.500]],
  "dft_energy_ev_per_atom": -5.14,
  "delta_e_f_ev_per_fu": 3.533,
  "total_magnetization_mub_per_atom": 0.0000,
  "sg": "P2/m (10)"
}

=====

(3)
{
  "formula": "AlPb2W",
  "functional": "PBE-GGA",
  "state": "optimized geometry",
  "lattice_angstrom": [[5.625, -1.490, 0.000], [5.625, 1.490, 0.000], [-1.667, 0.000, 5.340]],
  "species": ["Al", "Pb", "Pb", "W"],
  "frac_coords": [[0.000, 0.000, 0.000], [0.242, 0.242, 0.844], [0.434, 0.434, 0.470], [0.674, 0.674, 0.317]],
  "dft_energy_ev_per_atom": -5.34,
  "delta_e_f_ev_per_fu": 2.755,
  "total_magnetization_mub_per_atom": 0.0000,
  "sg": "Cm (8)"
}

=====

(4)
{
  "formula": "AlPb2W",
  "functional": "PBE-GGA",
  "state": "optimized geometry",
  "lattice_angstrom": [[0.000, 3.567, 3.567], [3.567, 0.000, 3.567], [3.567, 3.567, 0.000]],
  "species": ["Al", "Pb", "Pb", "W"],
  "frac_coords": [[0.000, 0.000, 0.000], [0.500, 0.500, 0.500], [0.750, 0.750, 0.750], [0.250, 0.250, 0.250]],
  "dft_energy_ev_per_atom": -4.98,
  "delta_e_f_ev_per_fu": 4.202,
  "total_magnetization_mub_per_atom": 0.3233,
  "sg": "F-43m (216)"
}